Entry 1:
{"formula": "Sm3DyY8", "functional": "GGA-PBE", "state": "optimized geometry", "lattice": [[-4.3734, 4.3734, 5.7104], [4.3734, -4.3734, 5.7104], [4.3734, 4.3734, -5.7104]], "species": ["Sm", "Sm", "Sm", "Dy", "Y", "Y", "Y", "Y", "Y", "Y", "Y", "Y"], "frac_coords": [[0.0000, 0.0000, 0.0000], [0.2500, 0.7500, 0.5000], [0.7500, 0.2500, 0.5000], [0.5000, 0.5000, 0.0000], [0.1269, 0.1269, 0.7475], [0.2461, 0.7380, 0.0000], [0.2620, 0.2620, 0.5082], [0.3794, 0.3794, 0.2525], [0.6206, 0.8731, 0.0000], [0.7380, 0.2461, 0.0000], [0.7539, 0.7539, 0.4918], [0.8731, 0.6206, 0.0000]], "crystal_system": "tetragonal", "dft_energy_ev_per_atom": -5.231, "dos_ef_per_ev_atom": 1.65, "formation_enthalpy_0k_mev_per_atom": 642, "magmom_total_mub_per_cell": 0.1, "sg": "No. 121", "volume_a3_per_cell": 436.9}

=====

Entry 2:
{"formula": "Sm8DyY2", "functional": "GGA-PBE", "state": "optimized geometry", "lattice": [[9.2005, -2.5533, 0.0000], [9.2005, 2.5533, 0.0000], [-2.1208, 0.0000, 7.7905]], "species": ["Sm", "Sm", "Sm", "Sm", "Sm", "Sm", "Sm", "Sm", "Dy", "Y", "Y"], "frac_coords": [[0.0456, 0.0456, 0.2279], [0.1362, 0.1362, 0.6820], [0.3184, 0.3184, 0.5901], [0.4093, 0.4093, 0.0469], [0.5907, 0.5907, 0.9531], [0.6816, 0.6816, 0.4099], [0.8638, 0.8638, 0.3180], [0.9544, 0.9544, 0.7721], [0.5000, 0.5000, 0.5000], [0.2269, 0.2269, 0.1357], [0.7731, 0.7731, 0.8643]], "crystal_system": "monoclinic", "dft_energy_ev_per_atom": -5.010, "dos_ef_per_ev_atom": 1.46, "formation_enthalpy_0k_mev_per_atom": 16, "magmom_total_mub_per_cell": 0.0, "sg": "No. 12", "volume_a3_per_cell": 366.0}